Material: Sc2FeRe
Method: DFT, GGA-PBEsol
State: optimized geometry

Cell lengths 3.2810, 4.1660, 4.6261 Å; angles 90.00, 90.00, 90.00 degrees
Closest atoms and distances in Å follow each position.
Space group Pmmm (No. 47)
Asymmetric unit:
Sc  0.0000  0.0000  0.0000  4 Re 2.65, 4 Sc 2.84
Sc  0.5000  0.0000  0.5000  4 Fe 2.65, 4 Sc 2.84
Fe  0.0000  0.5000  0.5000  4 Sc 2.65, 4 Re 2.84
Re  0.5000  0.5000  0.0000  4 Sc 2.65, 4 Fe 2.84

Results
**Energy of formation**: 192 meV/atom
**Magnetization**: 1.24 μB per formula unit
**Crystal system**: orthorhombic
**Energy relative to the lowest polymorph listed for this composition**: 21.5 kJ per mole of atoms